# 1
Here is a crystal of CsRbP2S relaxed with PBEsol from Alexandria via LeMat-Bulk. Energies are from SCAN.

Output
M_tot = 3.6 μB/cell

```
CsRbP2S
1.0
5.771 0.000 0.000
0.000 5.771 0.000
0.000 0.000 5.683
Cs Rb P S
1 1 2 1
Direct
0.000 0.000 0.000
0.500 0.500 0.500
0.000 0.500 0.000
0.500 0.000 0.000
0.000 0.000 0.500
```

***

# 2
Here is a crystal of Cd2SiAg relaxed with PBEsol from Alexandria via LeMat-Bulk. Energies are from SCAN.

Output
M_tot = 0.0 μB/cell

```
Cd2SiAg
1.0
4.208 0.000 0.000
0.000 4.208 0.000
0.000 0.000 4.129
Cd Si Ag
2 1 1
Direct
0.000 0.500 0.000
0.500 0.000 0.000
0.000 0.000 0.500
0.500 0.500 0.500
```

***

Asked for formation energy (no corrections) across the records above, the calculation gives 0.99, 0.28 eV/atom in order.